First-principles (GGA+U) data for a geometry-optimized TiCrIO2 structure, as listed in the Alexandria database.

## Properties
offset from the most stable computed form = 1942 meV per atom
ρ = 4.54 Mg/m³
spin magnetization = 3.1 μB per formula unit

a = 4.105 Å, b = 4.105 Å, c = 5.611 Å
α = 90.00°, β = 90.00°, γ = 90.00°
Space group P4/mmm (No. 123)
Inequivalent atoms, fractional coordinates:
1 Ti 0.000 0.000 0.000
2 Cr 0.500 0.500 0.000
3 I 0.000 0.000 0.500
4 O 0.000 0.500 0.500